Record 1
DFT (PBE) results for an optimized crystal structure of TbPrTm2Se6.

Lattice parameters (Å, degrees): 7.7006 7.7006 7.7006 56.23 56.23 56.23
Fractional positions:
1 Tb 0.0000 0.0000 0.0000
2 Pr 0.5059 0.5059 0.5059
3 Tm 0.3056 0.3056 0.3056
4 Tm 0.8022 0.8022 0.8022
5 Se 0.0853 0.4101 0.6994
6 Se 0.1820 0.9274 0.5867
7 Se 0.4101 0.6994 0.0853
8 Se 0.5867 0.1820 0.9274
9 Se 0.6994 0.0853 0.4101
10 Se 0.9274 0.5867 0.1820

## Properties
V	29.47	A^3/atom
raw formation energy	-177.4	kJ/mol of atoms

=====

Record 2
DFT (PBE) results for an optimized crystal structure of TlZn2Fe.

Lattice parameters (Å, degrees): 5.0438 5.0438 5.0438 134.24 134.20 66.75
Fractional positions:
1 Tl 0.0000 0.0000 0.0000
2 Zn 0.2502 0.7502 0.5000
3 Zn 0.5007 0.5007 0.0000
4 Fe 0.7501 0.2501 0.5000

## Properties
V	16.21	A^3/atom
energy relative to the lowest polymorph listed for this composition	123	meV per atom
calculated formation energy	370	meV/atom

=====

Record 3
DFT (PBE) results for an optimized crystal structure of Th3Pa.

Lattice parameters (Å, degrees): 3.4276 5.8873 5.9914 90.00 90.00 90.00
Fractional positions:
1 Th 0.0000 0.0000 0.0000
2 Th 0.0000 0.5000 0.3296
3 Th 0.5000 0.5000 0.8182
4 Pa 0.5000 0.0000 0.4992

## Properties
V	30.23	A^3/atom
energy relative to the lowest polymorph listed for this composition	51	meV per atom
calculated formation energy	128	meV/atom

=====

Record 4
DFT (PBE) results for an optimized crystal structure of Ba2CaFe.

Lattice parameters (Å, degrees): 5.6431 5.6431 4.9106 90.00 90.00 90.00
Fractional positions:
1 Ba 0.0000 0.5000 0.0000
2 Ba 0.5000 0.0000 0.0000
3 Ca 0.0000 0.0000 0.5000
4 Fe 0.5000 0.5000 0.5000

## Properties
V	39.09	A^3/atom
energy relative to the lowest polymorph listed for this composition	182	meV per atom
calculated formation energy	606	meV/atom

=====

Record 5
DFT (PBE) results for an optimized crystal structure of CsNb2SbO8.

Lattice parameters (Å, degrees): 5.7003 5.7003 8.7064 90.00 90.00 120.00
Fractional positions:
1 Cs 0.0000 0.0000 0.0000
2 Nb 0.3333 0.6667 0.6952
3 Nb 0.6667 0.3333 0.3048
4 Sb 0.0000 0.0000 0.5000
5 O 0.0646 0.3087 0.6349
6 O 0.2441 0.9354 0.6349
7 O 0.3087 0.2441 0.3651
8 O 0.3333 0.6667 0.8993
9 O 0.6667 0.3333 0.1007
10 O 0.6913 0.7559 0.6349
11 O 0.7559 0.0646 0.3651
12 O 0.9354 0.6913 0.3651

## Properties
V	20.42	A^3/atom
raw formation energy	-205.7	kJ/mol of atoms

=====

Record 6
DFT (PBE) results for an optimized crystal structure of La3TbPm6Sm2.

Lattice parameters (Å, degrees): 6.3531 6.3531 12.1578 95.04 95.04 120.04
Fractional positions:
1 La 0.0000 0.0000 0.0000
2 La 0.3333 0.6667 0.0000
3 La 0.6667 0.3333 0.0000
4 Tb 0.5000 0.5000 0.5000
5 Pm 0.0854 0.4182 0.2540
6 Pm 0.2489 0.2489 0.7459
7 Pm 0.4182 0.0854 0.2540
8 Pm 0.5818 0.9146 0.7460
9 Pm 0.7511 0.7511 0.2541
10 Pm 0.9146 0.5818 0.7460
11 Sm 0.1666 0.8334 0.5000
12 Sm 0.8334 0.1666 0.5000

## Properties
V	34.85	A^3/atom
calculated formation energy	17	meV/atom

=====

Record 7
DFT (PBE) results for an optimized crystal structure of TiInFe2Pt.

Lattice parameters (Å, degrees): 4.7082 4.7082 4.8956 90.00 90.00 90.00
Fractional positions:
1 Ti 0.0000 0.0000 0.0000
2 In 0.5000 0.5000 0.5000
3 Fe 0.0000 0.5000 0.5000
4 Fe 0.5000 0.0000 0.5000
5 Pt 0.5000 0.5000 0.0000

## Properties
V	21.70	A^3/atom
energy relative to the lowest polymorph listed for this composition	534	meV per atom
calculated formation energy	1260	meV/atom

=====

Record 8
DFT (PBE) results for an optimized crystal structure of SnH5Rh4.

Lattice parameters (Å, degrees): 5.5854 8.0215 4.4327 90.00 90.00 90.00
Fractional positions:
1 Sn 0.2500 0.2500 0.1439
2 Sn 0.7500 0.7500 0.8561
3 H 0.0478 0.5540 0.2061
4 H 0.0478 0.9460 0.2061
5 H 0.2500 0.7500 0.6404
6 H 0.4522 0.5540 0.2061
7 H 0.4522 0.9460 0.2061
8 H 0.5478 0.0540 0.7939
9 H 0.5478 0.4460 0.7939
10 H 0.7500 0.2500 0.3596
11 H 0.9522 0.0540 0.7939
12 H 0.9522 0.4460 0.7939
13 Rh 0.0074 0.7500 0.3712
14 Rh 0.2500 0.5531 0.8717
15 Rh 0.2500 0.9469 0.8717
16 Rh 0.4926 0.7500 0.3712
17 Rh 0.5074 0.2500 0.6288
18 Rh 0.7500 0.0531 0.1283
19 Rh 0.7500 0.4469 0.1283
20 Rh 0.9926 0.2500 0.6288

## Properties
V	9.93	A^3/atom
VASP energy	-100.14	eV per cell

=====

Record 9
DFT (PBE) results for an optimized crystal structure of Sm3Cd2Pd6.

Lattice parameters (Å, degrees): 8.4751 8.4751 8.4751 109.47 109.47 109.47
Fractional positions:
1 Sm 0.0000 0.3010 0.3010
2 Sm 0.0000 0.6990 0.6990
3 Sm 0.3010 0.0000 0.3010
4 Sm 0.3010 0.3010 0.0000
5 Sm 0.6990 0.0000 0.6990
6 Sm 0.6990 0.6990 0.0000
7 Cd 0.0000 0.0000 0.5000
8 Cd 0.0000 0.5000 0.0000
9 Cd 0.5000 0.0000 0.0000
10 Cd 0.5000 0.5000 0.5000
11 Pd 0.0000 0.3441 0.6559
12 Pd 0.0000 0.6559 0.3441
13 Pd 0.3119 0.6559 0.6559
14 Pd 0.3441 0.0000 0.6559
15 Pd 0.3441 0.3441 0.6881
16 Pd 0.3441 0.6559 0.0000
17 Pd 0.3441 0.6881 0.3441
18 Pd 0.6559 0.0000 0.3441
19 Pd 0.6559 0.3119 0.6559
20 Pd 0.6559 0.3441 0.0000
21 Pd 0.6559 0.6559 0.3119
22 Pd 0.6881 0.3441 0.3441

## Properties
V	21.30	A^3/atom
calculated formation energy	-694	meV/atom

=====

Record 10
DFT (PBE) results for an optimized crystal structure of GaFe2ReSe.

Lattice parameters (Å, degrees): 4.3098 4.3098 4.6393 90.00 90.00 90.00
Fractional positions:
1 Ga 0.0000 0.0000 0.0000
2 Fe 0.0000 0.5000 0.0000
3 Fe 0.5000 0.0000 0.0000
4 Re 0.0000 0.0000 0.5000
5 Se 0.5000 0.5000 0.5000

## Properties
V	17.23	A^3/atom
raw formation energy	163.7	kJ/mol of atoms

=====

Record 11
DFT (PBE) results for an optimized crystal structure of ThPa2As.

Lattice parameters (Å, degrees): 4.4460 4.4460 4.8267 90.00 90.00 90.00
Fractional positions:
1 Th 0.0000 0.0000 0.0000
2 Pa 0.0000 0.5000 0.5000
3 Pa 0.5000 0.0000 0.5000
4 As 0.5000 0.5000 0.0000

## Properties
V	23.85	A^3/atom
energy relative to the lowest polymorph listed for this composition	0	meV per atom
calculated formation energy	-338	meV/atom

=====

Record 12
DFT (PBE) results for an optimized crystal structure of CaTcP2.

Lattice parameters (Å, degrees): 4.4750 4.4750 4.4750 60.00 60.00 60.00
Fractional positions:
1 Ca 0.0000 0.0000 0.0000
2 Tc 0.5000 0.5000 0.5000
3 P 0.2500 0.2500 0.2500
4 P 0.7500 0.7500 0.7500

## Properties
V	15.84	A^3/atom
energy relative to the lowest polymorph listed for this composition	300	meV per atom
calculated formation energy	-287	meV/atom